{"formula": "LaDy2YTe6", "functional": "GGA-PBE", "state": "optimized geometry", "raw_formation_energy_ev_per_atom": -1.403, "lattice": [[3.9106, 2.2578, 7.0509], [-3.9106, 2.2578, 7.0509], [0.0000, -4.5156, 7.0509]], "species": ["La", "Dy", "Dy", "Y", "Te", "Te", "Te", "Te", "Te", "Te"], "fractional_positions": [[0.0000, 0.0000, 0.0000], [0.3058, 0.3058, 0.3058], [0.8089, 0.8089, 0.8089], [0.4950, 0.4950, 0.4950], [0.0847, 0.6916, 0.4236], [0.2118, 0.5816, 0.9034], [0.4236, 0.0847, 0.6916], [0.5816, 0.9034, 0.2118], [0.6916, 0.4236, 0.0847], [0.9034, 0.2118, 0.5816]]}

{"formula": "Au", "functional": "GGA-PBE", "state": "optimized geometry", "e_above_lowest_polymorph_ev_per_atom": 0.014, "ef_ev_per_atom": 0.0141, "lattice": [[2.8419, 0.0000, 0.0000], [-1.4044, 2.6419, 0.0000], [-1.3018, -0.9467, 7.2505]], "species": ["Au", "Au", "Au"], "fractional_positions": [[0.0000, 0.0000, 0.0000], [0.4465, 0.2403, 0.6671], [0.5535, 0.7597, 0.3329]]}